No. 1
A plane-wave DFT calculation with PBE was carried out for an optimized crystal structure of ErPaBi2O8.

abc: 7.2440 7.2440 7.3872
angles: 90.00 90.00 90.00
Space group I-4m2 (No. 119)
Symmetry-distinct sites (fractional):
Er  0.0000  0.0000  0.0000 (multiplicity 2)
Pa  0.0000  0.5000  0.2500 (multiplicity 2)
Bi  0.0000  0.0000  0.5000 (multiplicity 2)
Bi  0.0000  0.5000  0.7500 (multiplicity 2)
O  0.0000  0.2006  0.2747 (multiplicity 8)
O  0.0000  0.3121  0.9597 (multiplicity 8)

The formation energy (no corrections) is -2139 meV per atom. The total magnetization is 0.000 μB per atom.


No. 2
A plane-wave DFT calculation with PBE was carried out for an optimized crystal structure of NaZn2Hg8.

abc: 8.7448 12.7074 5.1207
angles: 90.00 103.85 90.00
Space group C2/m (No. 12)
Symmetry-distinct sites (fractional):
Na  0.0000  0.0000  0.0000 (multiplicity 2)
Zn  0.0000  0.3281  0.5000 (multiplicity 4)
Hg  0.0000  0.2455  0.0000 (multiplicity 4)
Hg  0.1332  0.5000  0.8423 (multiplicity 4)
Hg  0.1940  0.1257  0.6043 (multiplicity 8)

The energy of formation is -0.0099 eV per atom. The total magnetization is 0.000 μB per atom.


No. 3
A plane-wave DFT calculation with PBE was carried out for an optimized crystal structure of Na3TaNb2N6.

abc: 5.4503 9.4403 5.9878
angles: 90.00 107.67 90.00
Space group C2/m (No. 12)
Symmetry-distinct sites (fractional):
Na  0.0000  0.0000  0.0000 (multiplicity 2)
Na  0.0000  0.3327  0.0000 (multiplicity 4)
Ta  0.0000  0.5000  0.5000 (multiplicity 2)
Nb  0.0000  0.1666  0.5000 (multiplicity 4)
N  0.2303  0.3345  0.6944 (multiplicity 8)
N  0.2339  0.0000  0.6944 (multiplicity 4)

The formation energy (no corrections) is -785 meV per atom. The total magnetization is 0.000 μB per atom.


no.,calculated volume (A^3/atom),calculated total energy (eV per atom)
1,16.152,-7.263
2,25.114,-0.581
3,12.231,-7.943